Computed, not measured: a relaxed HoCr2SbO8 crystal at the GGA+U level of DFT.

Calculated values
As for the total energy: -85.84 eV/cell.

Cell lengths 4.709, 4.706, 6.371 Å; angles 89.00, 89.01, 88.57 degrees
Each line ends with the local moment (μB).
Fractional positions:
O: 0.793 0.205 0.771  -0.04
O: 0.796 0.208 0.229  -0.04
O: 0.207 0.795 0.229  -0.04
O: 0.309 0.308 0.995  -0.10
Ho: 0.000 0.000 0.500  0.01
Sb: 0.000 0.000 0.000  0.01
O: 0.329 0.328 0.489  -0.17
Cr: 0.502 0.503 0.751  2.32
O: 0.204 0.792 0.771  -0.04
Cr: 0.498 0.497 0.249  2.32
O: 0.671 0.672 0.511  -0.17
O: 0.691 0.692 0.005  -0.10